Record 1
Here is crystalline LiOsCl2 at its relaxed geometry from Alexandria. Energies are from PBE-GGA.

Results
VASP energy, eV per cell: -12.82
Size of the total moment, μB per cell: 3.2
Volume, Å³ per atom: 18.6
Density, Mg/m³: 5.98
Distance to the lowest polymorph of the same formula, meV/atom: 1271.8
Formation energy (no corrections), eV per atom: 1.0032

CIF file:
```
data_LiOsCl2
_symmetry_space_group_name_H-M 'P 1'
_symmetry_Int_Tables_number 1
_cell_length_a 4.7206
_cell_length_b 4.7206
_cell_length_c 4.7206
_cell_angle_alpha 60.00
_cell_angle_beta 60.00
_cell_angle_gamma 60.00
loop_
_symmetry_equiv_pos_as_xyz
'x,y,z'
loop_
_atom_site_label
_atom_site_type_symbol
_atom_site_fract_x
_atom_site_fract_y
_atom_site_fract_z
_atom_site_occupancy
Li1 Li 0.5000 0.5000 0.5000 1
Os1 Os 0.2500 0.2500 0.2500 1
Cl1 Cl 0.7500 0.7500 0.7500 1
Cl2 Cl 0.0000 0.0000 0.0000 1
```

Record 2
Here is crystalline LiOsCl2 at its relaxed geometry from Alexandria. Energies are from PBE-GGA.

Results
VASP energy, eV per cell: -16.29
Size of the total moment, μB per cell: 0.0
Volume, Å³ per atom: 15.8
Density, Mg/m³: 7.07
Distance to the lowest polymorph of the same formula, meV/atom: 405.1
Formation energy (no corrections), eV per atom: 0.1365

CIF file:
```
data_LiOsCl2
_symmetry_space_group_name_H-M 'P 1'
_symmetry_Int_Tables_number 1
_cell_length_a 5.0925
_cell_length_b 5.0925
_cell_length_c 4.2578
_cell_angle_alpha 89.96
_cell_angle_beta 89.96
_cell_angle_gamma 34.79
loop_
_symmetry_equiv_pos_as_xyz
'x,y,z'
loop_
_atom_site_label
_atom_site_type_symbol
_atom_site_fract_x
_atom_site_fract_y
_atom_site_fract_z
_atom_site_occupancy
Cl1 Cl 0.2478 0.2478 0.3746 1
Os1 Os 0.7390 0.7390 0.8748 1
Li1 Li 0.5315 0.5315 0.3758 1
Cl2 Cl 0.9818 0.9818 0.8748 1
```

Record 3
Here is crystalline LiOsCl2 at its relaxed geometry from Alexandria. Energies are from PBE-GGA.

Results
VASP energy, eV per cell: -16.78
Size of the total moment, μB per cell: 0.0
Volume, Å³ per atom: 16.7
Density, Mg/m³: 6.68
Distance to the lowest polymorph of the same formula, meV/atom: 281.6
Formation energy (no corrections), eV per atom: 0.0130

CIF file:
```
data_LiOsCl2
_symmetry_space_group_name_H-M 'P 1'
_symmetry_Int_Tables_number 1
_cell_length_a 4.9213
_cell_length_b 3.1816
_cell_length_c 4.5461
_cell_angle_alpha 69.34
_cell_angle_beta 90.00
_cell_angle_gamma 90.00
loop_
_symmetry_equiv_pos_as_xyz
'x,y,z'
loop_
_atom_site_label
_atom_site_type_symbol
_atom_site_fract_x
_atom_site_fract_y
_atom_site_fract_z
_atom_site_occupancy
Cl1 Cl 0.0000 0.8602 0.9050 1
Cl2 Cl 0.5000 0.1733 0.2729 1
Os1 Os 0.5000 0.9018 0.8225 1
Li1 Li 0.0000 0.5646 0.4995 1
```

Record 4
Here is crystalline LiOsCl at its relaxed geometry from Alexandria. Energies are from PBE-GGA.

Results
VASP energy, eV per cell: -11.19
Size of the total moment, μB per cell: 1.8
Volume, Å³ per atom: 16.9
Density, Mg/m³: 7.62
Distance to the lowest polymorph of the same formula, meV/atom: 870.3
Formation energy (no corrections), eV per atom: 1.2652

CIF file:
```
data_LiOsCl
_symmetry_space_group_name_H-M 'P 1'
_symmetry_Int_Tables_number 1
_cell_length_a 4.1541
_cell_length_b 4.1541
_cell_length_c 4.1541
_cell_angle_alpha 60.00
_cell_angle_beta 60.00
_cell_angle_gamma 60.00
loop_
_symmetry_equiv_pos_as_xyz
'x,y,z'
loop_
_atom_site_label
_atom_site_type_symbol
_atom_site_fract_x
_atom_site_fract_y
_atom_site_fract_z
_atom_site_occupancy
Li1 Li 0.5000 0.5000 0.5000 1
Cl1 Cl 0.0000 0.0000 0.0000 1
Os1 Os 0.7500 0.7500 0.7500 1
```

Record 5
Here is crystalline LiOsCl2 at its relaxed geometry from Alexandria. Energies are from PBE-GGA.

Results
VASP energy, eV per cell: -16.16
Size of the total moment, μB per cell: 2.9
Volume, Å³ per atom: 16.5
Density, Mg/m³: 6.74
Distance to the lowest polymorph of the same formula, meV/atom: 439.0
Formation energy (no corrections), eV per atom: 0.1704

CIF file:
```
data_LiOsCl2
_symmetry_space_group_name_H-M 'P 1'
_symmetry_Int_Tables_number 1
_cell_length_a 7.6827
_cell_length_b 7.6827
_cell_length_c 7.6827
_cell_angle_alpha 24.03
_cell_angle_beta 24.03
_cell_angle_gamma 24.03
loop_
_symmetry_equiv_pos_as_xyz
'x,y,z'
loop_
_atom_site_label
_atom_site_type_symbol
_atom_site_fract_x
_atom_site_fract_y
_atom_site_fract_z
_atom_site_occupancy
Li1 Li 0.7500 0.7500 0.7500 1
Cl1 Cl 0.4880 0.4880 0.4880 1
Os1 Os 0.2500 0.2500 0.2500 1
Cl2 Cl 0.0120 0.0120 0.0120 1
```

Record 6
Here is crystalline LiOsCl2 at its relaxed geometry from Alexandria. Energies are from PBE-GGA.

Results
VASP energy, eV per cell: -15.03
Size of the total moment, μB per cell: 0.0
Volume, Å³ per atom: 15.2
Density, Mg/m³: 7.31
Distance to the lowest polymorph of the same formula, meV/atom: 720.2
Formation energy (no corrections), eV per atom: 0.4516

CIF file:
```
data_LiOsCl2
_symmetry_space_group_name_H-M 'P 1'
_symmetry_Int_Tables_number 1
_cell_length_a 4.4167
_cell_length_b 4.4167
_cell_length_c 4.4167
_cell_angle_alpha 60.00
_cell_angle_beta 60.00
_cell_angle_gamma 60.00
loop_
_symmetry_equiv_pos_as_xyz
'x,y,z'
loop_
_atom_site_label
_atom_site_type_symbol
_atom_site_fract_x
_atom_site_fract_y
_atom_site_fract_z
_atom_site_occupancy
Cl1 Cl 0.7500 0.7500 0.7500 1
Li1 Li 0.0000 0.0000 0.0000 1
Os1 Os 0.5000 0.5000 0.5000 1
Cl2 Cl 0.2500 0.2500 0.2500 1
```

Record 7
Here is crystalline LiOsCl at its relaxed geometry from Alexandria. Energies are from PBE-GGA.

Results
VASP energy, eV per cell: -13.27
Size of the total moment, μB per cell: 0.0
Volume, Å³ per atom: 16.7
Density, Mg/m³: 7.69
Distance to the lowest polymorph of the same formula, meV/atom: 178.7
Formation energy (no corrections), eV per atom: 0.5735

CIF file:
```
data_LiOsCl
_symmetry_space_group_name_H-M 'P 1'
_symmetry_Int_Tables_number 1
_cell_length_a 6.0638
_cell_length_b 6.0638
_cell_length_c 6.0638
_cell_angle_alpha 153.69
_cell_angle_beta 149.39
_cell_angle_gamma 40.79
loop_
_symmetry_equiv_pos_as_xyz
'x,y,z'
loop_
_atom_site_label
_atom_site_type_symbol
_atom_site_fract_x
_atom_site_fract_y
_atom_site_fract_z
_atom_site_occupancy
Li1 Li 0.3579 0.3579 0.0000 1
Os1 Os 0.7153 0.7153 0.0000 1
Cl1 Cl 0.9267 0.9267 0.0000 1
```

Record 8
Here is crystalline LiOsCl2 at its relaxed geometry from Alexandria. Energies are from PBE-GGA.

Results
VASP energy, eV per cell: -15.82
Size of the total moment, μB per cell: 1.9
Volume, Å³ per atom: 22.9
Density, Mg/m³: 4.87
Distance to the lowest polymorph of the same formula, meV/atom: 523.6
Formation energy (no corrections), eV per atom: 0.2550

CIF file:
```
data_LiOsCl2
_symmetry_space_group_name_H-M 'P 1'
_symmetry_Int_Tables_number 1
_cell_length_a 8.2047
_cell_length_b 8.2047
_cell_length_c 8.2047
_cell_angle_alpha 155.97
_cell_angle_beta 155.97
_cell_angle_gamma 34.24
loop_
_symmetry_equiv_pos_as_xyz
'x,y,z'
loop_
_atom_site_label
_atom_site_type_symbol
_atom_site_fract_x
_atom_site_fract_y
_atom_site_fract_z
_atom_site_occupancy
Cl1 Cl 0.2500 0.7500 0.5000 1
Os1 Os 0.7500 0.2500 0.5000 1
Li1 Li 0.5000 0.5000 0.0000 1
Cl2 Cl 0.0000 0.0000 0.0000 1
```